Density functional theory data (PBE+U) for MoOsO5 after structural relaxation.

The structure in extended XYZ format:
```
14
Lattice="4.892 -0.217 1.745 1.116 4.768 1.745 -0.023 -0.018 7.058" Properties=species:S:1:pos:R:3 pbc="T T T"
Mo 2.878 2.430 3.509
O 4.342 0.472 7.038
O 3.748 1.396 2.059
O 4.433 3.540 3.527
Os 0.000 0.000 0.000
O 1.642 4.061 3.509
Os -0.012 -0.009 3.529
O 4.597 3.300 7.056
O 2.348 3.221 5.588
O 2.237 3.137 8.489
O 1.388 1.233 3.492
Mo 3.107 2.104 7.038
O 1.551 0.993 7.021
O 3.637 1.313 4.960
```

Summary:
Crystal system: monoclinic
Total energy: -7.375 eV/atom
Space-group type: C2/c (15)